The following is a DFT calculation (PBE) of an optimized crystal structure of YBi2IrO8.

a b c (Å): 5.086 6.797 5.133
angles (deg): 90.00 90.52 90.00
Fractional positions:
Y: 0.000 0.000 0.000
Bi: 0.500 0.254 0.500
Bi: 0.500 0.746 0.500
Ir: 0.000 0.500 0.000
O: 0.158 0.279 0.204
O: 0.158 0.721 0.204
O: 0.293 0.500 0.778
O: 0.330 0.000 0.705
O: 0.670 0.000 0.295
O: 0.707 0.500 0.222
O: 0.842 0.279 0.796
O: 0.842 0.721 0.796

Computed properties:
**V**: 14.8 Å³/atom
**DOS(E_F)**: 5.71 states/eV/cell
**Size of the total moment**: 0.779 μB per formula unit
**Uncorrected formation energy**: -1.408 eV per atom

***

The following is a DFT calculation (PBE) of an optimized crystal structure of Y2BiIrO8.

a b c (Å): 5.038 5.038 6.745
angles (deg): 90.00 90.00 91.55
Fractional positions:
Y: 0.000 0.000 0.245
Y: 0.000 0.000 0.755
Bi: 0.500 0.500 0.500
Ir: 0.500 0.500 0.000
O: 0.195 0.195 0.500
O: 0.225 0.225 0.000
O: 0.320 0.680 0.224
O: 0.320 0.680 0.776
O: 0.680 0.320 0.224
O: 0.680 0.320 0.776
O: 0.775 0.775 0.000
O: 0.805 0.805 0.500

Computed properties:
**V**: 14.3 Å³/atom
**DOS(E_F)**: 1.03 states/eV/cell
**Size of the total moment**: 1.999 μB per formula unit
**Uncorrected formation energy**: -1.923 eV per atom

***

The following is a DFT calculation (PBE) of an optimized crystal structure of Zn2BiIrO8.

a b c (Å): 4.731 6.505 4.741
angles (deg): 90.00 91.73 90.00
Fractional positions:
Zn: 0.000 0.249 0.000
Zn: 0.000 0.751 0.000
Bi: 0.500 0.500 0.500
Ir: 0.500 0.000 0.500
O: 0.185 0.500 0.183
O: 0.219 0.000 0.217
O: 0.307 0.223 0.691
O: 0.307 0.777 0.691
O: 0.693 0.223 0.309
O: 0.693 0.777 0.309
O: 0.781 0.000 0.783
O: 0.815 0.500 0.817

Computed properties:
**V**: 12.2 Å³/atom
**DOS(E_F)**: 2.12 states/eV/cell
**Size of the total moment**: 0.000 μB per formula unit
**Uncorrected formation energy**: -0.857 eV per atom

***

The following is a DFT calculation (PBE) of an optimized crystal structure of ZnBi2IrO6.

a b c (Å): 5.724 5.724 5.724
angles (deg): 59.87 59.87 59.87
Fractional positions:
Zn: 0.000 0.000 0.000
Bi: 0.265 0.265 0.265
Bi: 0.772 0.772 0.772
Ir: 0.485 0.485 0.485
O: 0.150 0.695 0.334
O: 0.209 0.640 0.819
O: 0.334 0.150 0.695
O: 0.640 0.819 0.209
O: 0.695 0.334 0.150
O: 0.819 0.209 0.640

Computed properties:
**V**: 13.2 Å³/atom
**DOS(E_F)**: 6.21 states/eV/cell
**Size of the total moment**: 0.020 μB per formula unit
**Uncorrected formation energy**: -1.043 eV per atom

***

The following is a DFT calculation (PBE) of an optimized crystal structure of BiIrOs.

a b c (Å): 3.098 3.098 13.334
angles (deg): 90.00 90.00 120.00
Fractional positions:
Bi: 0.000 0.000 0.173
Bi: 0.000 0.000 0.827
Ir: 0.333 0.667 0.000
Ir: 0.333 0.667 0.500
Os: 0.667 0.333 0.355
Os: 0.667 0.333 0.645

Computed properties:
**V**: 18.5 Å³/atom
**DOS(E_F)**: 5.88 states/eV/cell
**Size of the total moment**: 0.000 μB per formula unit
**Calculated formation energy**: 0.87 eV per atom

***

The following is a DFT calculation (PBE) of an optimized crystal structure of Bi2IrOs.

a b c (Å): 6.112 6.112 12.305
angles (deg): 90.00 90.00 90.00
Fractional positions:
Bi: 0.249 0.250 0.125
Bi: 0.250 0.749 0.375
Bi: 0.250 0.751 0.875
Bi: 0.251 0.250 0.625
Bi: 0.749 0.750 0.625
Bi: 0.750 0.249 0.875
Bi: 0.750 0.251 0.375
Bi: 0.751 0.750 0.125
Ir: 0.000 0.000 0.500
Ir: 0.000 0.500 0.750
Ir: 0.500 0.000 0.250
Ir: 0.500 0.500 0.000
Os: 0.000 0.000 0.000
Os: 0.000 0.500 0.250
Os: 0.500 0.000 0.750
Os: 0.500 0.500 0.500

Computed properties:
**V**: 28.7 Å³/atom
**DOS(E_F)**: 8.54 states/eV/cell
**Energy relative to the lowest polymorph listed for this composition**: 0.208 eV/atom
**Size of the total moment**: 0.000 μB per formula unit
**Calculated formation energy**: 1.04 eV per atom